Computed, not measured: an optimized crystal structure of Ho2Al5Cu4 at the PBE level of DFT.

Structure (CIF):
```
data_Ho2Al5Cu4
_chemical_formula_sum 'Ho8 Al20 Cu16'
_cell_length_a 5.4479
_cell_length_b 9.3955
_cell_length_c 14.9703
_cell_angle_alpha 90.00
_cell_angle_beta 90.00
_cell_angle_gamma 90.00
_symmetry_space_group_name_H-M 'F m m m'
_symmetry_Int_Tables_number 69
_symmetry_space_group_name_Hall '-F 2 2'
loop_
_atom_site_label
_atom_site_type_symbol
_atom_site_fract_x
_atom_site_fract_y
_atom_site_fract_z
_atom_site_occupancy
Ho1 Ho 0.0000 0.0000 0.1345 1
Al1 Al 0.0000 0.0000 0.5000 1
Al2 Al 0.2500 0.2500 0.0000 1
Al3 Al 0.2500 0.2500 0.2500 1
Cu1 Cu 0.0000 0.1414 0.3656 1
```

Formation enthalpy at 0 K: -0.327 eV/atom
Calculated total energy: -47.846 eV/f.u.